This record from Alexandria describes TmPuThMg after structural relaxation. The functional is PBE.

Properties
- total magnetic moment (μB/f.u.) = 6.47
- space group = No. 216
- raw total energy (eV per atom) = -6.78
- energy relative to the elements (eV/atom) = 0.18
- V (Å³ per cell) = 112.6

The structure in POSCAR format:
```
TmPuThMg
1.0
0.000 3.832 3.832
3.832 0.000 3.832
3.832 3.832 0.000
Tm Pu Th Mg
1 1 1 1
direct
0.000 0.000 0.000
0.750 0.750 0.750
0.500 0.500 0.500
0.250 0.250 0.250
```


This record from Alexandria describes PuMgTi2 after structural relaxation. The functional is PBE.

Properties
- total magnetic moment (μB/f.u.) = 4.87
- space group = No. 123
- raw total energy (eV per atom) = -7.74
- energy relative to the elements (eV/atom) = 0.19
- V (Å³ per cell) = 79.8

The structure in POSCAR format:
```
PuMgTi2
1.0
3.110 0.000 0.000
0.000 3.110 0.000
0.000 0.000 8.251
Pu Mg Ti
1 1 2
direct
0.000 0.000 0.000
0.000 0.000 0.500
0.500 0.500 0.250
0.500 0.500 0.750
```


This record from Alexandria describes PuMgTi2 after structural relaxation. The functional is PBE.

Properties
- total magnetic moment (μB/f.u.) = 5.48
- space group = No. 123
- raw total energy (eV per atom) = -7.74
- energy relative to the elements (eV/atom) = 0.19
- V (Å³ per cell) = 77.0

The structure in POSCAR format:
```
PuMgTi2
1.0
4.939 0.000 0.000
0.000 4.939 0.000
0.000 0.000 3.157
Pu Mg Ti
1 1 2
direct
0.000 0.000 0.000
0.500 0.500 0.000
0.000 0.500 0.500
0.500 0.000 0.500
```


This record from Alexandria describes PuMgTl after structural relaxation. The functional is PBE.

Properties
- total magnetic moment (μB/f.u.) = 5.95
- space group = No. 187
- raw total energy (eV per atom) = -6.11
- energy relative to the elements (eV/atom) = -0.02
- V (Å³ per cell) = 76.7

The structure in POSCAR format:
```
PuMgTl
1.0
5.179 0.000 0.000
-2.590 4.485 0.000
0.000 0.000 3.301
Pu Mg Tl
1 1 1
direct
0.000 0.000 0.000
0.333 0.667 0.500
0.667 0.333 0.500
```


This record from Alexandria describes PuMg6Tl4 after structural relaxation. The functional is PBE.

Properties
- total magnetic moment (μB/f.u.) = 5.65
- space group = No. 187
- raw total energy (eV per atom) = -3.03
- energy relative to the elements (eV/atom) = 0.01
- V (Å³ per cell) = 279.0

The structure in POSCAR format:
```
PuMg6Tl4
1.0
8.468 0.000 0.000
-4.234 7.334 0.000
0.000 0.000 4.493
Pu Mg Tl
1 6 4
direct
0.000 0.000 0.000
0.206 0.411 0.500
0.206 0.794 0.500
0.535 0.071 0.000
0.535 0.465 0.000
0.589 0.794 0.500
0.929 0.465 0.000
0.333 0.667 0.000
0.367 0.184 0.500
0.816 0.184 0.500
0.816 0.633 0.500
```


This record from Alexandria describes PuMgTl after structural relaxation. The functional is PBE.

Properties
- total magnetic moment (μB/f.u.) = 5.11
- space group = No. 216
- raw total energy (eV per atom) = -5.86
- energy relative to the elements (eV/atom) = 0.24
- V (Å³ per cell) = 92.0

The structure in POSCAR format:
```
PuMgTl
1.0
0.000 3.583 3.583
3.583 0.000 3.583
3.583 3.583 0.000
Pu Mg Tl
1 1 1
direct
0.000 0.000 0.000
0.500 0.500 0.500
0.750 0.750 0.750
```


Look up the V of the sixth one. 92.0 Å³ per cell